# BaSc2InW, relaxed, DFT GGA-PBE
# Total magnetization: 2.02 Bohr magnetons per cell
# D(E_F): 1.435 states/eV per atom
# Formation energy from the elements: 1.03 eV/atom
# Density: 5.57 g cm⁻³
data_BaSc2InW
_symmetry_space_group_name_H-M 'P 4/m m m'
_symmetry_Int_Tables_number 123
_symmetry_space_group_name_Hall '-P 4 2'
_cell_length_a 5.4479
_cell_length_b 5.4479
_cell_length_c 5.2854
_cell_angle_alpha 90.00
_cell_angle_beta 90.00
_cell_angle_gamma 90.00
loop_
_atom_site_label
_atom_site_fract_x
_atom_site_fract_y
_atom_site_fract_z
Ba1 0.0000 0.0000 0.0000
Sc1 0.0000 0.5000 0.5000
In1 0.5000 0.5000 0.5000
W1 0.5000 0.5000 0.0000

***

# BaScZnIn2, relaxed, DFT GGA-PBE
# Total magnetization: 0.00 Bohr magnetons per cell
# D(E_F): 1.574 states/eV per atom
# Formation energy from the elements: 1.20 eV/atom
# Density: 3.53 g cm⁻³
data_BaScZnIn2
_symmetry_space_group_name_H-M 'P 4/m m m'
_symmetry_Int_Tables_number 123
_symmetry_space_group_name_Hall '-P 4 2'
_cell_length_a 6.2527
_cell_length_b 6.2527
_cell_length_c 5.7456
_cell_angle_alpha 90.00
_cell_angle_beta 90.00
_cell_angle_gamma 90.00
loop_
_atom_site_label
_atom_site_fract_x
_atom_site_fract_y
_atom_site_fract_z
Ba1 0.0000 0.0000 0.0000
Sc1 0.0000 0.0000 0.5000
Zn1 0.5000 0.5000 0.5000
In1 0.0000 0.5000 0.0000

***

no.,calculated total energy (eV per atom)
1,-5.025
2,-1.800